Entry 1:
Density functional theory data (PBE) for HgTe2W after structural relaxation.

For the formation energy (no corrections), the calculation gives 472 meV per atom. For the energy, the calculation gives -0.324 Ry/atom. The density of states at the Fermi level is 3.0 states/eV per cell.

Geometry as extended XYZ:
```
4
Lattice="-1.4511 -0.8474 -2.7405 2.0651 -2.1495 1.2039 -8.3211 -4.7107 5.8626" Properties=species:S:1:pos:R:3 pbc="T T T"
Hg -5.9338 -5.0315 3.6287
W -1.7733 -2.6761 0.6973
Te -0.4671 -0.2644 0.3291
Te -3.6935 -2.0910 2.6022
```

***

Entry 2:
Density functional theory data (PBE) for Hg2TeW after structural relaxation.

For the formation energy (no corrections), the calculation gives 741 meV per atom. For the energy, the calculation gives -0.252 Ry/atom. The density of states at the Fermi level is 4.0 states/eV per cell.

Geometry as extended XYZ:
```
4
Lattice="-6.5614 -0.0410 9.1884 -3.8734 -0.4967 10.5940 -4.8006 2.3542 9.9445" Properties=species:S:1:pos:R:3 pbc="T T T"
Hg -7.8123 0.9315 15.2432
Hg -15.0408 1.7933 29.3472
Te -11.4266 1.3624 22.2952
W -3.8089 0.4541 7.4317
```

***

Entry 3:
Density functional theory data (PBE) for Hg2TeW after structural relaxation.

For the formation energy (no corrections), the calculation gives 1009 meV per atom. For the energy, the calculation gives -0.233 Ry/atom. The density of states at the Fermi level is 3.7 states/eV per cell.

Geometry as extended XYZ:
```
4
Lattice="-3.5522 1.0789 -1.9100 -1.2597 -3.9792 0.0952 -2.1546 0.7887 4.4527" Properties=species:S:1:pos:R:3 pbc="T T T"
Te -2.8534 0.9338 1.2714
Hg 0.0000 0.0000 0.0000
Hg -2.4060 -1.4502 -0.9074
W -1.7072 -1.5952 2.2740
```

***

Entry 4:
Density functional theory data (PBE) for Hg2TeW after structural relaxation.

For the formation energy (no corrections), the calculation gives 682 meV per atom. For the energy, the calculation gives -0.257 Ry/atom. The density of states at the Fermi level is 2.1 states/eV per cell.

Geometry as extended XYZ:
```
4
Lattice="7.4619 -0.0282 -0.0316 6.8211 3.0255 -0.0316 1.3485 0.2830 4.2333" Properties=species:S:1:pos:R:3 pbc="T T T"
Hg 7.0277 1.4748 2.3385
Hg 2.1366 0.4484 3.9799
Te 3.9079 0.8201 1.0425
W 11.7236 2.4602 3.1276
```

***

Entry 5:
Density functional theory data (PBE) for HgTe2W after structural relaxation.

For the formation energy (no corrections), the calculation gives 421 meV per atom. For the energy, the calculation gives -0.328 Ry/atom. The density of states at the Fermi level is 2.7 states/eV per cell.

Geometry as extended XYZ:
```
4
Lattice="-2.7746 0.0769 -1.5361 -0.1145 -4.8819 -0.0375 -3.7190 -2.4004 6.5976" Properties=species:S:1:pos:R:3 pbc="T T T"
Te -2.6041 -2.6919 1.2932
Te -3.5472 -2.7095 6.2718
W -2.2663 -2.7222 3.9574
Hg -3.8264 -5.1235 3.3794
```

***

Entry 6:
Density functional theory data (PBE) for YHg2Te2 after structural relaxation.

For the formation energy (no corrections), the calculation gives -536 meV per atom. For the energy, the calculation gives -0.236 Ry/atom. The density of states at the Fermi level is 4.3 states/eV per cell.

Geometry as extended XYZ:
```
5
Lattice="4.0455 0.0000 0.0000 0.0000 4.0455 0.0000 2.0227 2.0227 9.5299" Properties=species:S:1:pos:R:3 pbc="T T T"
Y 0.0000 0.0000 0.0000
Te 2.0227 2.0227 1.6232
Te 4.0455 4.0455 7.9066
Hg 4.0455 2.0227 4.7649
Hg 2.0227 4.0455 4.7649
```

***

Entry 7:
Density functional theory data (PBE) for Y4HgTe5 after structural relaxation.

For the formation energy (no corrections), the calculation gives -1127 meV per atom. For the energy, the calculation gives -0.391 Ry/atom. The density of states at the Fermi level is 0.7 states/eV per cell.

Geometry as extended XYZ:
```
10
Lattice="-0.7122 0.6970 4.1982 -5.7557 -6.9786 0.1821 9.4914 -4.1480 0.0815" Properties=species:S:1:pos:R:3 pbc="T T T"
Te 0.9017 -2.5523 0.5767
Te 2.1218 -7.8773 3.8851
Te -1.3836 -6.9861 0.9251
Te 4.4072 -3.4435 3.5368
Te -3.2339 -3.1408 2.1902
Y 2.4372 -1.2471 2.8379
Y 0.5863 -9.1826 1.6240
Y 6.8928 -5.0316 4.2221
Y -3.8692 -5.3980 0.2398
Hg -0.3561 0.3485 2.0991
```

***

Entry 8:
Density functional theory data (PBE) for YHg2Te after structural relaxation.

For the formation energy (no corrections), the calculation gives -553 meV per atom. For the energy, the calculation gives -0.228 Ry/atom. The density of states at the Fermi level is 1.6 states/eV per cell.

Geometry as extended XYZ:
```
4
Lattice="-4.8350 0.5952 4.5183 -3.6112 -5.0117 2.4472 6.2647 1.8284 -1.2481" Properties=species:S:1:pos:R:3 pbc="T T T"
Hg -4.2231 -2.2082 3.4828
Hg 0.0000 0.0000 0.0000
Y -1.3967 0.1077 3.3765
Te -0.7848 -2.6958 2.3410
```

***

Entry 9:
Density functional theory data (PBE) for Y2HgTe after structural relaxation.

For the formation energy (no corrections), the calculation gives -769 meV per atom. For the energy, the calculation gives -0.357 Ry/atom. The density of states at the Fermi level is 3.7 states/eV per cell.

Geometry as extended XYZ:
```
4
Lattice="3.9186 0.0000 0.0000 0.0000 3.8954 0.0010 0.0000 3.8884 6.9713" Properties=species:S:1:pos:R:3 pbc="T T T"
Y 0.0000 3.8924 3.4702
Y 0.0000 3.8949 0.0169
Te 1.9593 5.8379 5.2292
Hg 1.9593 1.9460 1.7431
```

***

Entry 10:
Density functional theory data (PBE) for YHg3Te after structural relaxation.

For the formation energy (no corrections), the calculation gives 329 meV per atom. For the energy, the calculation gives -0.130 Ry/atom. The density of states at the Fermi level is 3.6 states/eV per cell.

Geometry as extended XYZ:
```
5
Lattice="-4.8337 2.7966 -1.6094 -3.2162 -3.9423 2.8091 0.2600 3.2270 4.8265" Properties=species:S:1:pos:R:3 pbc="T T T"
Y 0.0000 0.0000 0.0000
Hg -1.6081 -1.9711 1.4046
Hg 0.1300 1.6135 2.4133
Hg -2.4169 1.3983 -0.8047
Te -3.8949 1.0407 3.0131
```

***

Entry 11:
Density functional theory data (PBE) for YHgTe2 after structural relaxation.

For the formation energy (no corrections), the calculation gives -804 meV per atom. For the energy, the calculation gives -0.299 Ry/atom. The density of states at the Fermi level is 1.9 states/eV per cell.

Geometry as extended XYZ:
```
4
Lattice="8.1115 0.0000 1.0704 1.6108 2.1939 -3.4356 -1.6108 2.1939 3.4356" Properties=species:S:1:pos:R:3 pbc="T T T"
Te 6.7414 2.1939 -1.0015
Te 1.3701 2.1939 2.0720
Y 4.0558 2.1939 0.5352
Hg 0.0000 0.0000 0.0000
```

***

Entry 12:
Density functional theory data (PBE) for YHgTe2 after structural relaxation.

For the formation energy (no corrections), the calculation gives -770 meV per atom. For the energy, the calculation gives -0.296 Ry/atom. The density of states at the Fermi level is 1.2 states/eV per cell.

Geometry as extended XYZ:
```
4
Lattice="4.3482 0.0000 0.0000 0.0000 4.3482 0.0000 0.0000 0.0000 6.5041" Properties=species:S:1:pos:R:3 pbc="T T T"
Hg 2.1741 2.1741 0.0000
Te 2.1741 2.1741 3.2521
Te 0.0000 0.0000 0.0000
Y 0.0000 0.0000 3.2521
```

***

Entry 13:
Density functional theory data (PBE) for Y2HgTe after structural relaxation.

For the formation energy (no corrections), the calculation gives -850 meV per atom. For the energy, the calculation gives -0.363 Ry/atom. The density of states at the Fermi level is 3.0 states/eV per cell.

Geometry as extended XYZ:
```
4
Lattice="4.3392 0.0000 0.0000 0.0000 4.3392 0.0000 0.0000 0.0000 6.1987" Properties=species:S:1:pos:R:3 pbc="T T T"
Y 2.1696 2.1696 2.3237
Y 0.0000 0.0000 5.4242
Te 2.1696 2.1696 5.4237
Hg 0.0000 0.0000 2.3251
```

***

Entry 14:
Density functional theory data (PBE) for YHgTe2 after structural relaxation.

For the formation energy (no corrections), the calculation gives -708 meV per atom. For the energy, the calculation gives -0.292 Ry/atom. The density of states at the Fermi level is 0.0 states/eV per cell.

Geometry as extended XYZ:
```
16
Lattice="25.1843 0.0000 -1.9828 0.0000 4.3181 0.0000 -9.7428 0.0000 5.5229" Properties=species:S:1:pos:R:3 pbc="T T T"
Y 6.3566 0.9068 0.3985
Y 9.0849 3.4113 3.1417
Y 14.0774 1.2523 2.1686
Y 1.3642 3.0658 1.3716
Hg 10.8882 1.2319 1.2950
Hg 22.0169 3.3910 -1.5076
Hg -6.5754 0.9271 5.0478
Hg 4.5534 3.0862 2.2452
Te -0.7913 1.0069 1.6499
Te -3.8213 2.7622 3.5751
Te 19.2628 1.5559 -0.0349
Te 8.5120 3.1659 0.1202
Te 1.7993 0.6032 3.7180
Te 16.2328 3.3112 1.8903
Te 13.6422 3.7149 -0.1778
Te 6.9295 1.1522 3.4200
```

***

Entry 15:
Density functional theory data (PBE) for Y2HgTe after structural relaxation.

For the formation energy (no corrections), the calculation gives -665 meV per atom. For the energy, the calculation gives -0.350 Ry/atom. The density of states at the Fermi level is 3.6 states/eV per cell.

Geometry as extended XYZ:
```
4
Lattice="5.1678 -1.1958 0.5145 1.6531 -2.9627 4.1098 1.6739 -4.9931 -0.8175" Properties=species:S:1:pos:R:3 pbc="T T T"
Y 2.1237 -2.2879 0.9517
Y 6.3712 -6.8637 2.8551
Hg 4.2474 -4.5758 1.9034
Te 0.0000 0.0000 0.0000
```

***

Entry 16:
Density functional theory data (PBE) for YHgTe2 after structural relaxation.

For the formation energy (no corrections), the calculation gives -859 meV per atom. For the energy, the calculation gives -0.303 Ry/atom. The density of states at the Fermi level is 0.9 states/eV per cell.

Geometry as extended XYZ:
```
4
Lattice="6.6103 0.0044 -0.0223 -0.0034 4.4324 -0.0004 1.3369 0.0008 3.9637" Properties=species:S:1:pos:R:3 pbc="T T T"
Te 2.7165 0.8036 3.9293
Te 5.8726 3.0222 2.8638
Y 4.3303 0.8051 1.1776
Hg 2.0811 3.0195 1.9353
```

***

Entry 17:
Density functional theory data (PBE) for YHgTe2 after structural relaxation.

For the formation energy (no corrections), the calculation gives -835 meV per atom. For the energy, the calculation gives -0.301 Ry/atom. The density of states at the Fermi level is 2.2 states/eV per cell.

Geometry as extended XYZ:
```
8
Lattice="6.1420 -0.0009 0.0086 0.7429 6.0989 0.0090 3.1921 2.8314 6.7007" Properties=species:S:1:pos:R:3 pbc="T T T"
Te 3.6935 6.4665 3.4072
Te 5.9046 2.9797 3.8800
Te 6.7745 5.7027 0.5381
Te 3.8198 3.0914 0.0561
Hg 0.7129 2.6323 0.2911
Hg 2.8691 3.4386 3.6370
Y 2.9192 0.1478 0.2893
Y 6.8060 5.9232 3.6469
```

***

Entry 18:
Density functional theory data (PBE) for YHgTe2 after structural relaxation.

For the formation energy (no corrections), the calculation gives -859 meV per atom. For the energy, the calculation gives -0.303 Ry/atom. The density of states at the Fermi level is 0.9 states/eV per cell.

Geometry as extended XYZ:
```
8
Lattice="-2.4511 -0.2873 3.6890 3.9237 -10.6496 1.7803 3.8461 3.5558 2.8325" Properties=species:S:1:pos:R:3 pbc="T T T"
Te 5.9687 -5.0446 5.7341
Te 0.5371 -1.4951 2.3987
Te 0.3490 1.4817 5.1759
Te 2.6865 -2.0632 6.4528
Hg 4.0409 -6.8147 4.3153
Hg 0.7680 -3.8482 5.0387
Y 2.7552 -0.1657 3.9767
Y 2.0542 -10.4973 5.3787
```

***

Entry 19:
Density functional theory data (PBE) for YHgTe after structural relaxation.

For the formation energy (no corrections), the calculation gives -693 meV per atom. For the energy, the calculation gives -0.294 Ry/atom. The density of states at the Fermi level is 3.2 states/eV per cell.

Geometry as extended XYZ:
```
3
Lattice="-0.3782 2.9749 -5.4088 -3.9892 2.1910 -4.1871 -0.5768 3.7810 0.7195" Properties=species:S:1:pos:R:3 pbc="T T T"
Te -3.1730 4.7295 -6.3457
Y -1.8042 4.2295 -2.6208
Hg -4.3342 5.1538 -9.5057
```

***

Entry 20:
Density functional theory data (PBE) for YHgTe2 after structural relaxation.

For the formation energy (no corrections), the calculation gives -327 meV per atom. For the energy, the calculation gives -0.264 Ry/atom. The density of states at the Fermi level is 6.1 states/eV per cell.

Geometry as extended XYZ:
```
8
Lattice="0.7657 13.1504 -1.2676 -4.1839 -12.5386 0.6364 -0.9701 0.6208 5.8549" Properties=species:S:1:pos:R:3 pbc="T T T"
Y -4.1056 -10.7183 1.9767
Y -0.2826 11.9510 3.2470
Te -3.5408 -7.7871 1.7594
Te -4.6479 -10.7051 4.9262
Te 0.2597 11.9378 0.2975
Te -0.8474 9.0197 3.4643
Hg -2.8717 -4.3143 1.5021
Hg -1.5165 5.5470 3.7216
```